# CeTiGa2

A relaxed CeTiGa2 crystal (PBE, Alexandria).

**Magnetic moment**: 2.051 μB per cell
**N(E_F)**: 7.86 states/eV per cell
**ΔE to the lowest computed polymorph**: 0.097 eV per atom
**Formation energy from the elements**: -0.3492 eV per atom
**Symmetry**: No. 225

Structure (POSCAR):
```
CeTiGa2
1.0
4.853 0.000 0.000
2.427 4.203 0.000
2.427 1.401 3.963
Ga Ce Ti
2 1 1
Cartesian
2.427 1.401 0.991
7.280 4.203 2.972
0.000 0.000 0.000
4.853 2.802 1.981
```